(1)
CuAgHg | Alexandria via LeMat-Bulk | PBEsol | relaxed; final energy = -2.64 eV/atom; energy relative to the lowest polymorph listed for this composition = 0.00 eV/f.u.
1.0
3.131 0.000 0.000
0.000 3.205 0.000
-1.566 -1.602 4.820
Ag Cu Hg
1 1 1
Cartesian
0.000 0.000 0.135
1.566 1.602 1.575
0.000 0.000 3.111

---

(2)
BaPW3 | Alexandria via LeMat-Bulk | PBEsol | relaxed; final energy = -8.65 eV/atom
1.0
4.642 0.000 0.000
0.000 4.642 0.000
0.000 0.000 4.642
P Ba W
1 1 3
Cartesian
0.000 0.000 0.000
2.321 2.321 2.321
0.000 2.321 0.000
0.000 0.000 2.321
2.321 0.000 0.000

---

(3)
NbSi2HgTe | Alexandria via LeMat-Bulk | PBEsol | relaxed; final energy = -3.83 eV/atom; raw formation energy = 1455 meV/atom
1.0
5.125 0.000 0.000
0.000 5.125 0.000
0.000 0.000 5.149
Nb Te Si Hg
1 1 2 1
Cartesian
0.000 0.000 2.575
0.000 0.000 0.000
0.000 2.562 0.000
2.562 0.000 0.000
2.562 2.562 2.575

---

What total magnetic moment values result from the calculations? In sequence: 0.00; 0.00; 1.44 Bohr magnetons per cell.